Here is crystalline Th2ZrAl4Pt3 at its relaxed geometry from Alexandria. Energies are from PBE-GGA.

Cell lengths 4.254, 4.254, 11.189 Å; angles 90.00, 90.00, 90.00 degrees
Atoms (fractional coordinates):
1 Th 0.500 0.000 0.239
2 Th 0.000 0.500 0.761
3 Zr 0.500 0.500 0.500
4 Al 0.500 0.500 0.000
5 Al 0.000 0.000 0.000
6 Al 0.500 0.000 0.653
7 Al 0.000 0.500 0.347
8 Pt 0.000 0.000 0.500
9 Pt 0.500 0.000 0.873
10 Pt 0.000 0.500 0.127

Output
density: 10.2 g/cm³
crystal system: tetragonal
D(E_F): 0.6733 states/eV/atom
energy relative to the elements: -88.8 kJ per mole of atoms
DFT total energy: -6.57 eV/atom